1.
First-principles (PBE) data for crystalline CsCoPt2 at its relaxed geometry, as listed in the Alexandria database.

Cell: 6.858 6.858 6.858 Å, 90.00 90.00 90.00°
Space group Fm-3m (No. 225)
Unique sites:
Cs (0.000, 0.000, 0.000) (multiplicity 4)
Co (0.000, 0.000, 0.500) (multiplicity 4)
Pt (0.250, 0.250, 0.250) (multiplicity 8)

Results
Size of the total moment = 1.93 μB per formula unit
DOS(E_F) = 1.2 states/eV/f.u.
Energy above the most stable polymorph in this dataset = 69.6 kJ/mol of atoms
Energy of formation from the pure elements = 4.50 eV/f.u.


2.
First-principles (PBE) data for crystalline CsCoPt3 at its relaxed geometry, as listed in the Alexandria database.

Cell: 5.175 5.175 5.175 Å, 90.00 90.00 90.00°
Space group Pm-3m (No. 221)
Unique sites:
Cs (0.000, 0.000, 0.000) (multiplicity 1)
Co (0.500, 0.500, 0.500) (multiplicity 1)
Pt (0.000, 0.000, 0.500) (multiplicity 3)

Results
Size of the total moment = 1.87 μB per formula unit
DOS(E_F) = 17.5 states/eV/f.u.
Energy of formation from the pure elements = 12.71 eV/f.u.


3.
First-principles (PBE) data for crystalline CsCo2Pt at its relaxed geometry, as listed in the Alexandria database.

Cell: 5.062 5.062 16.719 Å, 90.00 90.00 90.00°
Space group I4_1/amd (No. 141, origin choice 2)
Unique sites:
Cs (0.000, 0.250, 0.375) (multiplicity 4)
Co (0.000, 0.000, 0.000) (multiplicity 8)
Pt (0.000, 0.250, 0.875) (multiplicity 4)

Results
Size of the total moment = 4.32 μB per formula unit
DOS(E_F) = 8.3 states/eV/f.u.
Energy of formation from the pure elements = 3.04 eV/f.u.


4.
First-principles (PBE) data for crystalline CsCo3Pt at its relaxed geometry, as listed in the Alexandria database.

Cell: 4.606 4.606 4.606 Å, 90.00 90.00 90.00°
Space group Pm-3m (No. 221)
Unique sites:
Cs (0.000, 0.000, 0.000) (multiplicity 1)
Co (0.000, 0.000, 0.500) (multiplicity 3)
Pt (0.500, 0.500, 0.500) (multiplicity 1)

Results
Size of the total moment = 3.40 μB per formula unit
DOS(E_F) = 10.8 states/eV/f.u.
Energy of formation from the pure elements = 12.48 eV/f.u.


5.
First-principles (PBE) data for crystalline CsCoPt2 at its relaxed geometry, as listed in the Alexandria database.

Cell: 5.400 5.400 15.797 Å, 90.00 90.00 90.00°
Space group I4_1/amd (No. 141, origin choice 2)
Unique sites:
Cs (0.000, 0.250, 0.375) (multiplicity 4)
Co (0.000, 0.250, 0.875) (multiplicity 4)
Pt (0.000, 0.000, 0.000) (multiplicity 8)

Results
Size of the total moment = 2.19 μB per formula unit
DOS(E_F) = 2.9 states/eV/f.u.
Energy above the most stable polymorph in this dataset = 0.0 kJ/mol of atoms
Energy of formation from the pure elements = 1.62 eV/f.u.


6.
First-principles (PBE) data for crystalline Cs2CoPtS4 at its relaxed geometry, as listed in the Alexandria database.

Cell: 5.603 14.140 23.974 Å, 90.00 90.00 90.00°
Space group Fddd (No. 70, origin choice 2)
Unique sites:
Cs (0.125, 0.125, 0.304) (multiplicity 16)
Co (0.125, 0.125, 0.625) (multiplicity 8)
Pt (0.125, 0.125, 0.125) (multiplicity 8)
S (0.100, 0.288, 0.823) (multiplicity 32)

Results
Size of the total moment = 0.00 μB per formula unit
DOS(E_F) = 6.0 states/eV/f.u.
Uncorrected formation energy = -599.8 meV/atom